! Al2ZnBr, relaxed, DFT PBEsol; values from VASP
&SYSTEM
  ibrav = 0, nat = 4, ntyp = 3
/
ATOMIC_SPECIES
Al 26.98 Al.upf
Zn 65.41 Zn.upf
Br 79.90 Br.upf
ATOMIC_POSITIONS crystal
Al 0.000 0.000 0.000
Al 0.005 0.500 0.987
Zn 0.500 0.000 0.499
Br 0.502 0.500 0.497
CELL_PARAMETERS angstrom
3.153 0.000 0.000
0.000 5.514 0.000
-0.001 0.000 4.587
! - ΔE_f (raw) (eV/atom) = 0.092
! - symmetry = Pm (6)
! - ΔE to the lowest computed polymorph (meV/atom) = 0

=====

! ScCo2Se, relaxed, DFT PBEsol; values from VASP
&SYSTEM
  ibrav = 0, nat = 4, ntyp = 3
/
ATOMIC_SPECIES
Sc 44.96 Sc.upf
Co 58.93 Co.upf
Se 78.96 Se.upf
ATOMIC_POSITIONS crystal
Sc 0.000 0.000 0.000
Co 0.326 0.500 0.656
Co 0.736 0.000 0.491
Se 0.598 0.500 0.199
CELL_PARAMETERS angstrom
3.289 0.000 0.000
0.000 3.755 0.000
-1.609 0.000 4.642
! - ΔE_f (raw) (eV/atom) = -0.306
! - symmetry = Pm (6)

=====

! Ho3Ge13Os4, relaxed, DFT PBEsol; values from VASP
&SYSTEM
  ibrav = 0, nat = 40, ntyp = 3
/
ATOMIC_SPECIES
Ho 164.93 Ho.upf
Ge 72.64 Ge.upf
Os 190.23 Os.upf
ATOMIC_POSITIONS crystal
Ho 0.000 0.250 0.500
Ho 0.000 0.750 0.500
Ho 0.250 0.500 0.000
Ho 0.500 0.000 0.250
Ho 0.500 0.000 0.750
Ho 0.750 0.500 0.000
Ge 0.000 0.000 0.000
Ge 0.000 0.300 0.145
Ge 0.000 0.300 0.855
Ge 0.000 0.700 0.145
Ge 0.000 0.700 0.855
Ge 0.145 0.000 0.300
Ge 0.145 0.000 0.700
Ge 0.200 0.500 0.355
Ge 0.200 0.500 0.645
Ge 0.300 0.145 0.000
Ge 0.300 0.855 0.000
Ge 0.355 0.200 0.500
Ge 0.355 0.800 0.500
Ge 0.500 0.355 0.200
Ge 0.500 0.355 0.800
Ge 0.500 0.500 0.500
Ge 0.500 0.645 0.200
Ge 0.500 0.645 0.800
Ge 0.645 0.200 0.500
Ge 0.645 0.800 0.500
Ge 0.700 0.145 0.000
Ge 0.700 0.855 0.000
Ge 0.800 0.500 0.355
Ge 0.800 0.500 0.645
Ge 0.855 0.000 0.300
Ge 0.855 0.000 0.700
Os 0.250 0.250 0.250
Os 0.250 0.250 0.750
Os 0.250 0.750 0.250
Os 0.250 0.750 0.750
Os 0.750 0.250 0.250
Os 0.750 0.250 0.750
Os 0.750 0.750 0.250
Os 0.750 0.750 0.750
CELL_PARAMETERS angstrom
8.944 0.000 0.000
0.000 8.944 0.000
0.000 0.000 8.944
! - symmetry = Pm-3n (223)
! - energy of formation (meV per atom) = -390

=====

! ZnBrN2F, relaxed, DFT PBEsol; values from VASP
&SYSTEM
  ibrav = 0, nat = 5, ntyp = 4
/
ATOMIC_SPECIES
Zn 65.41 Zn.upf
Br 79.90 Br.upf
N 14.01 N.upf
F 19.00 F.upf
ATOMIC_POSITIONS crystal
Zn 0.000 0.000 0.000
Br 0.500 0.500 0.500
N 0.000 0.500 0.000
N 0.500 0.000 0.000
F 0.000 0.000 0.500
CELL_PARAMETERS angstrom
4.048 0.000 0.000
0.000 4.048 0.000
0.000 0.000 3.885
! - ΔE_f (raw) (eV/atom) = 1.062
! - symmetry = P4/mmm (123)